Here is a relaxed Nd2HoO crystal from Alexandria via LeMat-Bulk. Energies are from PBE-GGA.

Lattice parameters (Å, degrees): 3.636 3.636 9.528 79.00 79.00 60.00
Positions (direct):
Nd: 0.118 0.118 0.645
Nd: 0.882 0.882 0.355
Ho: 0.000 0.000 0.000
O: 0.500 0.500 0.500

Computed properties:
DFT total energy = -23.5 eV for the cell shown
formation energy (no corrections) = -1.12 eV per atom
distance to the lowest polymorph of the same formula = 0 meV/atom
Fermi-level density of states = 1.110 states/eV/atom
SG = R-3m